[1]
First-principles (PBE) data for Be2SbPt after structural relaxation, as listed in Alexandria via LeMat-Bulk.

POSCAR file:
```
Be2SbPt
1.0
3.765 0.000 0.000
0.000 2.859 0.004
0.000 1.414 5.826
Sb Pt Be
1 1 2
direct
0.500 0.430 0.768 Sb
0.000 0.626 0.372 Pt
0.000 0.278 0.067 Be
0.500 0.166 0.293 Be
```

## Properties
E_form (uncorrected) in meV/atom: -146
Crystal system: monoclinic
Mass density in Mg/m³: 8.9
Calculated volume in A^3/atom: 15.68

[2]
First-principles (PBE) data for ScReW2 after structural relaxation, as listed in Alexandria via LeMat-Bulk.

POSCAR file:
```
ScReW2
1.0
-0.841 1.257 5.103
3.649 -1.653 3.504
-0.863 2.937 -4.354
Re Sc W
1 1 2
direct
0.511 0.511 0.000 Re
0.252 0.752 0.500 Sc
0.989 0.989 0.000 W
0.748 0.248 0.500 W
```

## Properties
Crystal system: orthorhombic
Energy of formation in eV per atom: 0.051
Polymorph energy (0 for the lowest one) in meV/atom: 69
Mass density in Mg/m³: 15.0
Calculated volume in A^3/atom: 16.54

[3]
First-principles (PBE) data for KMg2TlPt after structural relaxation, as listed in Alexandria via LeMat-Bulk.

POSCAR file:
```
KMg2TlPt
1.0
-2.225 -1.770 -4.352
4.208 -2.892 -0.974
-2.137 -4.029 2.731
Mg Tl K Pt
2 1 1 1
direct
0.000 0.500 0.000 Mg
0.500 0.000 0.000 Mg
0.000 0.000 0.500 Tl
0.500 0.500 0.500 K
0.000 0.000 0.000 Pt
```

## Properties
Crystal system: tetragonal
Energy of formation in eV per atom: -0.276
Polymorph energy (0 for the lowest one) in meV/atom: 0
Mass density in Mg/m³: 5.6
Calculated volume in A^3/atom: 28.73

[4]
First-principles (PBE) data for Sc2PdRu after structural relaxation, as listed in Alexandria via LeMat-Bulk.

POSCAR file:
```
Sc2PdRu
1.0
3.276 0.000 0.000
0.000 3.276 0.000
0.000 0.000 6.415
Sc Ru Pd
2 1 1
direct
0.000 0.000 0.761 Sc
0.000 0.000 0.239 Sc
0.500 0.500 0.000 Ru
0.500 0.500 0.500 Pd
```

## Properties
Crystal system: tetragonal
Energy of formation in eV per atom: -0.823
Mass density in Mg/m³: 7.2
Calculated volume in A^3/atom: 17.21

[5]
First-principles (PBE) data for MgRuPt4 after structural relaxation, as listed in Alexandria via LeMat-Bulk.

POSCAR file:
```
MgRuPt4
1.0
5.080 -1.046 0.827
2.752 2.884 3.420
1.540 -2.098 4.562
Mg Ru Pt
1 1 4
direct
0.000 0.000 0.000 Mg
0.750 0.750 0.750 Ru
0.875 0.375 0.375 Pt
0.375 0.375 0.875 Pt
0.375 0.875 0.375 Pt
0.375 0.375 0.375 Pt
```

## Properties
Crystal system: cubic
Energy of formation in eV per atom: -0.002
Mass density in Mg/m³: 14.7
Calculated volume in A^3/atom: 17.08

[6]
First-principles (PBE) data for Rb6Cd15Au8 after structural relaxation, as listed in Alexandria via LeMat-Bulk.

POSCAR file:
```
Rb6Cd15Au8
1.0
-8.565 -2.801 -5.669
-2.685 -10.265 -0.868
-8.689 -3.666 4.941
Rb Cd Au
6 15 8
direct
0.740 0.740 0.260 Rb
0.260 0.260 0.740 Rb
0.740 0.260 0.260 Rb
0.260 0.740 0.740 Rb
0.740 0.260 0.740 Rb
0.260 0.740 0.260 Rb
0.005 0.332 0.332 Cd
0.995 0.668 0.668 Cd
0.332 0.332 0.005 Cd
0.332 0.332 0.332 Cd
0.668 0.668 0.995 Cd
0.668 0.668 0.668 Cd
0.332 0.005 0.332 Cd
0.668 0.995 0.668 Cd
0.500 0.500 0.000 Cd
0.000 0.000 0.500 Cd
0.500 0.000 0.000 Cd
0.000 0.500 0.500 Cd
0.500 0.000 0.500 Cd
0.000 0.500 0.000 Cd
0.000 0.000 0.000 Cd
0.574 0.142 0.142 Au
0.426 0.858 0.858 Au
0.142 0.142 0.574 Au
0.142 0.142 0.142 Au
0.858 0.858 0.426 Au
0.858 0.858 0.858 Au
0.142 0.574 0.142 Au
0.858 0.426 0.858 Au
```

## Properties
Crystal system: cubic
Energy of formation in eV per atom: -0.083
Mass density in Mg/m³: 7.3
Calculated volume in A^3/atom: 29.42